[1]
Below is an optimized crystal structure of Ca2Pr4Pb3N2, with properties calculated at the GGA-PBE level.

a b c (Å): 4.983 4.983 13.432
angles (deg): 100.69 100.69 90.00
Fractional coordinates of all 11 atoms:
Ca1 0.305 0.305 0.610
Ca2 0.695 0.695 0.390
Pr1 0.412 0.912 0.824
Pr2 0.912 0.412 0.824
Pr3 0.088 0.588 0.176
Pr4 0.588 0.088 0.176
Pb1 0.000 0.000 0.000
Pb2 0.177 0.177 0.354
Pb3 0.823 0.823 0.646
N1 0.396 0.396 0.792
N2 0.604 0.604 0.208

## Properties
ρ   6.7 Mg/m³
Space group   I4/mmm (139)
Raw formation energy   -66.85 kJ per mole of atoms
Energy   -5.320 eV/atom

[2]
Below is an optimized crystal structure of PrEuLu, with properties calculated at the GGA-PBE level.

a b c (Å): 3.664 3.664 9.007
angles (deg): 90.00 90.00 120.00
Each line ends with the local moment (μB).
Fractional coordinates of all 3 atoms:
Eu1 0.000 0.000 0.993  -6.99
Pr1 0.667 0.333 0.348  0.04
Lu1 0.333 0.667 0.659  0.01

## Properties
ρ   7.4 Mg/m³
Space group   P3m1 (156)
ΔH_f (0 K)   0.06 eV per atom
Energy   -6.467 eV/atom

[3]
Below is an optimized crystal structure of PrHoTmZn, with properties calculated at the GGA-PBE level.

a b c (Å): 5.378 5.378 5.378
angles (deg): 60.00 60.00 60.00
Fractional coordinates of all 4 atoms:
Pr1 0.750 0.750 0.750
Zn1 0.000 0.000 0.000
Tm1 0.500 0.500 0.500
Ho1 0.250 0.250 0.250

## Properties
ρ   8.2 Mg/m³
Space group   F-43m (216)
ΔH_f (0 K)   0.03 eV per atom
Energy   -3.744 eV/atom

[4]
Below is an optimized crystal structure of KNaAl2Cl8, with properties calculated at the GGA-PBE level.

a b c (Å): 6.543 6.543 10.209
angles (deg): 71.31 71.31 60.00
Fractional coordinates of all 12 atoms:
K1 0.500 0.500 0.500
Na1 0.000 0.000 0.000
Al1 0.249 0.249 0.253
Al2 0.751 0.751 0.747
Cl1 0.173 0.173 0.481
Cl2 0.576 0.291 0.183
Cl3 0.827 0.827 0.519
Cl4 0.949 0.576 0.183
Cl5 0.051 0.424 0.817
Cl6 0.291 0.949 0.183
Cl7 0.709 0.051 0.817
Cl8 0.424 0.709 0.817

## Properties
ρ   1.9 Mg/m³
Space group   R-3 (148)
Raw formation energy   -164.47 kJ per mole of atoms
Energy   -3.761 eV/atom

Repeat the first record exactly.
Below is an optimized crystal structure of Ca2Pr4Pb3N2, with properties calculated at the GGA-PBE level.

a b c (Å): 4.983 4.983 13.432
angles (deg): 100.69 100.69 90.00
Fractional coordinates of all 11 atoms:
Ca1 0.305 0.305 0.610
Ca2 0.695 0.695 0.390
Pr1 0.412 0.912 0.824
Pr2 0.912 0.412 0.824
Pr3 0.088 0.588 0.176
Pr4 0.588 0.088 0.176
Pb1 0.000 0.000 0.000
Pb2 0.177 0.177 0.354
Pb3 0.823 0.823 0.646
N1 0.396 0.396 0.792
N2 0.604 0.604 0.208

## Properties
ρ   6.7 Mg/m³
Space group   I4/mmm (139)
Raw formation energy   -66.85 kJ per mole of atoms
Energy   -5.320 eV/atom